The following is a DFT calculation (PBE) of crystalline Mn2AlNi at its relaxed geometry.

Results
formation enthalpy at 0 K: -0.0997 eV per atom
total magnetization: 0.76 μB per atom
calculated total energy: -7.065 eV/atom

abc: 8.450 2.734 4.315
angles: 90.00 108.06 90.00
Space group Cm (No. 8)
Inequivalent atoms, fractional coordinates:
Mn  0.000  0.000  0.000 x2
Mn  0.238  0.500  0.167 x2
Al  0.240  0.000  0.672 x2
Ni  0.491  0.000  0.490 x2